DFT (PBE) results for an optimized crystal structure of CaCeEr4Se8.

abc: 8.409 8.409 8.515
angles: 60.41 60.41 60.00
Fractional positions:
Ca (0.374, 0.374, 0.879)
Ce (0.001, 0.001, 0.997)
Er (0.626, 0.626, 0.122)
Er (0.002, 0.495, 0.502)
Er (0.495, 0.002, 0.502)
Er (0.002, 0.002, 0.502)
Se (0.247, 0.779, 0.728)
Se (0.779, 0.247, 0.728)
Se (0.247, 0.247, 0.728)
Se (0.239, 0.239, 0.282)
Se (0.750, 0.231, 0.269)
Se (0.231, 0.750, 0.269)
Se (0.750, 0.750, 0.269)
Se (0.758, 0.758, 0.726)

* calculated total energy: -78.8 eV per cell
* energy relative to the elements, uncorrected: -1.767 eV/atom
* symmetry: R3m, No. 160
* Fermi-level density of states: 10.59 states/eV/cell